Entry 1:
Material: K2CeF4
Method: DFT, PBE-GGA
State: relaxed

Values from the calculation:
As for the formation energy without anion corrections: -2.954 eV per atom. The space group is I4/mmm (139). The crystal system is tetragonal.

Cell and atoms, written as POSCAR:
```
K2CeF4
1.0
-2.830 -2.302 3.078
2.871 -3.807 -0.207
3.986 5.766 4.277
F Ce K
4 1 2
Direct
0.000 0.500 0.000 F
0.500 0.000 0.000 F
0.846 0.846 0.692 F
0.154 0.154 0.308 F
0.000 0.000 0.000 Ce
0.329 0.329 0.658 K
0.671 0.671 0.342 K
```



Entry 2:
Material: BaTaNb2N
Method: DFT, PBE-GGA
State: relaxed

Values from the calculation:
As for the formation energy without anion corrections: 2.832 eV per atom. The space group is P4/mmm (123). The crystal system is tetragonal.

Cell and atoms, written as POSCAR:
```
BaTaNb2N
1.0
-3.862 -1.675 3.166
2.829 -1.419 2.700
-0.007 4.659 2.456
N Nb Ta Ba
1 2 1 1
Direct
0.000 0.500 0.000 N
0.500 0.000 0.000 Nb
0.000 0.000 0.500 Nb
0.500 0.500 0.500 Ta
0.000 0.000 0.000 Ba
```



Entry 3:
Material: BaSO3
Method: DFT, PBE-GGA
State: relaxed

Values from the calculation:
As for the formation energy without anion corrections: -2.090 eV per atom. The space group is Ima2 (46). The crystal system is orthorhombic.

Cell and atoms, written as POSCAR:
```
BaSO3
1.0
1.286 5.497 3.841
-2.132 -4.271 4.882
5.570 0.009 -3.950
Ba S O
2 2 6
Direct
0.253 0.195 0.558 Ba
0.637 0.695 0.442 Ba
0.365 0.951 0.914 S
0.038 0.451 0.086 S
0.465 0.724 0.795 O
0.265 0.618 0.147 O
0.465 0.170 0.241 O
0.929 0.224 0.759 O
0.929 0.670 0.205 O
0.471 0.118 0.853 O
```



Entry 4:
Material: Fe2SnPb
Method: DFT, PBE-GGA
State: relaxed

Values from the calculation:
The distance to the lowest polymorph of the same formula comes out at 141 meV/atom. The space group is I-42d (122). The value obtained for the formation energy is 0.745 eV per atom. The crystal system is tetragonal.

Cell and atoms, written as POSCAR:
```
Fe2SnPb
1.0
-2.314 3.274 -6.181
3.250 -5.261 -4.004
-2.109 -2.651 -5.006
Fe Sn Pb
4 2 2
Direct
0.614 0.125 0.250 Fe
0.136 0.625 0.250 Fe
0.375 0.386 0.750 Fe
0.875 0.864 0.750 Fe
0.250 0.750 0.500 Sn
0.500 0.500 0.000 Sn
0.000 0.000 0.000 Pb
0.750 0.250 0.500 Pb
```



Entry 5:
Material: Er2Tl3SbS6
Method: DFT, PBE-GGA
State: relaxed

Values from the calculation:
As for the formation energy without anion corrections: -1.103 eV per atom. The space group is C2/m (12). The crystal system is monoclinic.

Cell and atoms, written as POSCAR:
```
Er2Tl3SbS6
1.0
-6.569 -1.372 1.856
2.342 -1.998 -6.245
3.594 -5.412 4.372
S Tl Er Sb
6 3 2 1
Direct
0.403 0.066 0.197 S
0.066 0.403 0.197 S
0.934 0.597 0.803 S
0.597 0.934 0.803 S
0.271 0.271 0.803 S
0.729 0.729 0.197 S
0.833 0.167 0.500 Tl
0.167 0.833 0.500 Tl
0.500 0.500 0.500 Tl
0.667 0.333 0.000 Er
0.333 0.667 0.000 Er
0.000 0.000 0.000 Sb
```



Entry 6:
Material: InFeP2
Method: DFT, PBE-GGA
State: relaxed

Values from the calculation:
The space group is C2/m (12). The value obtained for the formation energy is 0.453 eV per atom. The crystal system is monoclinic.

Cell and atoms, written as POSCAR:
```
InFeP2
1.0
-1.709 -2.287 3.499
2.482 -2.871 -3.648
3.096 -1.681 1.557
Fe In P
1 1 2
Direct
0.500 0.500 0.000 Fe
0.500 0.000 0.500 In
0.000 0.000 0.000 P
0.000 0.500 0.500 P
```



Entry 7:
Material: La2WN4
Method: DFT, PBE-GGA
State: relaxed

Values from the calculation:
As for the formation energy without anion corrections: -1.116 eV per atom. The distance to the lowest polymorph of the same formula comes out at 17 meV/atom. The space group is P2_1/m (11). The crystal system is monoclinic.

Cell and atoms, written as POSCAR:
```
La2WN4
1.0
-0.348 2.141 -5.632
0.870 -5.587 -2.178
-6.478 -1.881 2.237
La N W
4 8 2
Direct
0.320 0.250 0.980 La
0.222 0.250 0.439 La
0.778 0.750 0.561 La
0.680 0.750 0.020 La
0.552 0.491 0.740 N
0.027 0.750 0.341 N
0.448 0.509 0.260 N
0.552 0.009 0.740 N
0.941 0.250 0.074 N
0.448 0.991 0.260 N
0.973 0.250 0.659 N
0.059 0.750 0.926 N
0.237 0.750 0.197 W
0.763 0.250 0.803 W
```



Entry 8:
Material: K2Rh
Method: DFT, PBE-GGA
State: relaxed

Values from the calculation:
The distance to the lowest polymorph of the same formula comes out at 426 meV/atom. The space group is P-3m1 (164). The value obtained for the formation energy is 0.779 eV per atom. The crystal system is trigonal.

Cell and atoms, written as POSCAR:
```
K2Rh
1.0
-2.992 -0.814 -1.569
0.272 -0.242 3.456
-2.818 8.749 0.833
K Rh
2 1
Direct
0.333 0.667 0.257 K
0.667 0.333 0.743 K
0.000 0.000 0.000 Rh
```



Entry 9:
Material: Er6TmTh4
Method: DFT, PBE-GGA
State: relaxed

Values from the calculation:
The distance to the lowest polymorph of the same formula comes out at 361 meV/atom. The space group is Cm (8). The value obtained for the formation energy is 0.522 eV per atom. The crystal system is monoclinic.

Cell and atoms, written as POSCAR:
```
Er6TmTh4
1.0
-3.260 7.047 0.524
-6.957 -3.303 1.124
6.147 -1.872 5.573
Th Tm Er
4 1 6
Direct
0.757 0.094 0.852 Th
0.905 0.905 0.149 Th
0.094 0.757 0.852 Th
0.243 0.243 0.148 Th
0.500 0.500 0.000 Tm
0.071 0.071 0.641 Er
0.000 0.500 0.000 Er
0.930 0.430 0.359 Er
0.500 0.000 0.000 Er
0.430 0.930 0.359 Er
0.570 0.570 0.641 Er
```



Entry 10:
Material: KHgCl2
Method: DFT, PBE-GGA
State: relaxed

Values from the calculation:
As for the formation energy without anion corrections: -0.987 eV per atom. The distance to the lowest polymorph of the same formula comes out at 101 meV/atom. The space group is R-3m (166). The crystal system is trigonal.

Cell and atoms, written as POSCAR:
```
KHgCl2
1.0
2.666 0.000 8.643
-1.333 2.309 8.643
-1.333 -2.309 8.643
K Cl Hg
1 2 1
Direct
0.500 0.500 0.500 K
0.898 0.898 0.898 Cl
0.102 0.102 0.102 Cl
0.000 0.000 0.000 Hg
```



Entry 11:
Material: Ac3Cd2Pb3
Method: DFT, PBE-GGA
State: relaxed

Values from the calculation:
The space group is Cmcm (63). The value obtained for the formation energy is -0.442 eV per atom. The crystal system is orthorhombic.

Cell and atoms, written as POSCAR:
```
Ac3Cd2Pb3
1.0
-2.513 3.952 1.603
-3.886 -3.944 -4.013
-5.083 -8.692 13.463
Pb Cd Ac
6 4 6
Direct
0.628 0.256 0.750 Pb
0.622 0.244 0.458 Pb
0.622 0.244 0.042 Pb
0.378 0.756 0.542 Pb
0.378 0.756 0.958 Pb
0.372 0.744 0.250 Pb
0.773 0.546 0.896 Cd
0.773 0.546 0.604 Cd
0.227 0.454 0.104 Cd
0.227 0.454 0.396 Cd
0.929 0.859 0.111 Ac
0.071 0.141 0.889 Ac
0.349 0.698 0.750 Ac
0.651 0.302 0.250 Ac
0.929 0.859 0.389 Ac
0.071 0.141 0.611 Ac
```



Entry 12:
Material: Y6MgAs2Se3
Method: DFT, PBE-GGA
State: relaxed

Values from the calculation:
As for the formation energy without anion corrections: -1.366 eV per atom. The space group is C2/m (12). The crystal system is monoclinic.

Cell and atoms, written as POSCAR:
```
Y6MgAs2Se3
1.0
-2.256 2.467 2.383
-6.975 -3.822 -2.645
3.662 -5.986 6.126
As Y Se Mg
2 6 3 1
Direct
0.835 0.669 0.669 As
0.165 0.331 0.331 As
0.999 0.732 0.998 Y
0.001 0.268 0.002 Y
0.673 0.093 0.345 Y
0.327 0.907 0.655 Y
0.671 0.574 0.342 Y
0.329 0.426 0.658 Y
0.500 0.500 0.000 Se
0.833 0.170 0.667 Se
0.167 0.830 0.333 Se
0.500 0.000 0.000 Mg
```



Sequential raw total energy output: -5.185 -5.616 -6.275 -5.414 -4.862 -5.052 -9.132 -2.403 -5.072 -2.260 -3.602 -6.377 eV/atom
Sequential V output: 171 115 216 166 314 69 245 97 393 160 531 303 Å³/cell